Entry 1:
Material: Sc2Fe2Ni15
Method: DFT, PBE
State: optimized geometry

Computed properties:
* calculated formation energy: -0.176 eV per atom
* crystal system: trigonal
* calculated density: 7.7 g/cm3
* space-group type: R-3m (166)
* DOS(E_F): 19.56 states/eV/cell

Unit cell a=6.202 b=6.202 c=6.202 alpha=82.30 beta=82.30 gamma=82.30
Each line ends with the local moment (μB).
Element x y z (fractional)
Sc  0.342  0.342  0.342  -0.13
Sc  0.658  0.658  0.658  -0.13
Fe  0.095  0.095  0.095  2.75
Fe  0.905  0.905  0.905  2.75
Ni  0.500  0.000  0.000  0.51
Ni  0.000  0.000  0.500  0.51
Ni  0.000  0.500  0.000  0.51
Ni  0.000  0.695  0.305  0.43
Ni  0.695  0.305  0.000  0.43
Ni  0.305  0.000  0.695  0.43
Ni  0.305  0.695  0.000  0.43
Ni  0.695  0.000  0.305  0.43
Ni  0.000  0.305  0.695  0.43
Ni  0.157  0.654  0.654  0.49
Ni  0.654  0.654  0.157  0.49
Ni  0.654  0.157  0.654  0.49
Ni  0.843  0.346  0.346  0.49
Ni  0.346  0.346  0.843  0.49
Ni  0.346  0.843  0.346  0.49


Entry 2:
Material: NaCdRh3
Method: DFT, PBE
State: optimized geometry

Computed properties:
* calculated formation energy: 1.321 eV per atom
* polymorph energy (0 for the lowest one): 0.0 meV/atom
* crystal system: cubic
* calculated density: 6.0 g/cm3
* space-group type: Pm-3m (221)
* DOS(E_F): 7.76 states/eV/cell

Unit cell a=4.982 b=4.982 c=4.982 alpha=90.00 beta=90.00 gamma=90.00
Each line ends with the local moment (μB).
Element x y z (fractional)
Na  0.500  0.500  0.500  -0.01
Rh  0.000  0.500  0.000  0.88
Rh  0.000  0.000  0.500  1.09
Rh  0.500  0.000  0.000  0.54
Cd  0.000  0.000  0.000  0.01


Entry 3:
Material: Rb8PaO6
Method: DFT, PBE
State: optimized geometry

Computed properties:
* crystal system: trigonal
* formation energy without anion corrections: -1.683 eV/atom
* calculated density: 3.6 g/cm3
* space-group type: R-3 (148)
* DOS(E_F): 2.32 states/eV/cell

Unit cell a=7.003 b=7.003 c=11.826 alpha=72.78 beta=72.78 gamma=60.00
Element x y z (fractional)
Rb  0.739  0.432  0.744
Rb  0.914  0.261  0.256
Rb  0.568  0.914  0.256
Rb  0.333  0.333  0.000
Rb  0.667  0.667  0.000
Rb  0.432  0.086  0.744
Rb  0.086  0.739  0.744
Rb  0.261  0.568  0.256
Pa  0.000  0.000  0.000
O  0.960  0.703  0.121
O  0.783  0.040  0.879
O  0.297  0.783  0.879
O  0.703  0.217  0.121
O  0.217  0.960  0.121
O  0.040  0.297  0.879


Entry 4:
Material: SrTe2IF
Method: DFT, PBE
State: optimized geometry

Computed properties:
* polymorph energy (0 for the lowest one): 761.7 meV/atom
* crystal system: tetragonal
* formation energy without anion corrections: -0.189 eV/atom
* calculated density: 3.0 g/cm3
* space-group type: P4/mmm (123)
* DOS(E_F): 9.59 states/eV/cell

Unit cell a=6.616 b=6.616 c=6.234 alpha=90.00 beta=90.00 gamma=90.00
Each line ends with the local moment (μB).
Element x y z (fractional)
I  0.000  0.000  0.500  0.15
Sr  0.000  0.000  0.000  -0.01
Te  0.000  0.500  0.000  0.85
Te  0.500  0.000  0.000  0.85
F  0.500  0.500  0.500  0.42


Entry 5:
Material: AlTeOs2
Method: DFT, PBE
State: optimized geometry

Computed properties:
* polymorph energy (0 for the lowest one): 576.4 meV/atom
* crystal system: cubic
* formation energy without anion corrections: 0.845 eV/atom
* calculated density: 13.2 g/cm3
* space-group type: F-43m (216)
* DOS(E_F): 6.53 states/eV/cell

Unit cell a=4.562 b=4.562 c=4.562 alpha=60.00 beta=60.00 gamma=60.00
Element x y z (fractional)
Te  0.750  0.750  0.750
Os  0.000  0.000  0.000
Os  0.250  0.250  0.250
Al  0.500  0.500  0.500


Entry 6:
Material: MnAsW3
Method: DFT, PBE
State: optimized geometry

Computed properties:
* calculated formation energy: 1.947 eV per atom
* polymorph energy (0 for the lowest one): 487.6 meV/atom
* crystal system: cubic
* calculated density: 12.1 g/cm3
* space-group type: Pm-3m (221)
* DOS(E_F): 8.17 states/eV/cell

Unit cell a=4.543 b=4.543 c=4.543 alpha=90.00 beta=90.00 gamma=90.00
Element x y z (fractional)
As  0.000  0.000  0.000
Mn  0.500  0.500  0.500
W  0.000  0.500  0.000
W  0.000  0.000  0.500
W  0.500  0.000  0.000